Entry 1:
5
Lattice="3.688 0.000 0.000 0.000 3.688 0.000 0.000 0.000 4.061" Properties=species:S:1:pos:R:3 comment="Li2CrHRh | the Alexandria database | PBE | relaxed" total_energy_ev_per_atom=-4.814 total_magnetization_mub_per_fu=3.327 space_group="No. 123" pbc="T T T"
Li 0.000 1.844 0.000
Li 1.844 0.000 0.000
Cr 0.000 0.000 2.031
H 0.000 0.000 0.000
Rh 1.844 1.844 2.031



Entry 2:
5
Lattice="4.095 0.000 0.000 0.000 4.095 0.000 0.000 0.000 4.171" Properties=species:S:1:pos:R:3 comment="Li2CrSbH | the Alexandria database | PBE | relaxed" total_energy_ev_per_atom=-4.433 total_magnetization_mub_per_fu=3.995 space_group="No. 123" pbc="T T T"
Li 0.000 2.047 0.000
Li 2.047 0.000 0.000
Sb 2.047 2.047 2.086
Cr 0.000 0.000 2.086
H 0.000 0.000 0.000



Entry 3:
12
Lattice="-2.097 -1.980 -1.131 2.417 -0.293 -3.977 3.169 -4.651 2.267" Properties=species:S:1:pos:R:3 comment="Li2ScCrH8 | the Alexandria database | PBE | relaxed" total_energy_ev_per_atom=-4.131 total_magnetization_mub_per_fu=1.218 space_group="No. 47" pbc="T T T"
H 1.174 -3.392 -0.480
H 0.969 -5.703 -0.299
H -0.582 -1.046 -1.331
H 2.316 -3.532 -2.361
H -0.841 -3.046 -1.594
H 4.330 -3.877 -1.247
H 4.072 -5.877 -1.510
H 2.520 -1.220 -2.542
Li 2.589 -4.701 -0.816
Li 0.900 -2.222 -2.025
Cr 0.000 0.000 0.000
Sc 1.585 -2.326 1.133



Entry 4:
5
Lattice="4.463 0.000 0.000 0.000 3.571 0.000 0.000 0.000 4.463" Properties=species:S:1:pos:R:3 comment="LiCrSi2H | the Alexandria database | PBE | relaxed" total_energy_ev_per_atom=-4.834 total_magnetization_mub_per_fu=0.122 space_group="No. 123" pbc="T T T"
H 0.000 1.786 0.000
Si 2.232 0.000 0.000
Si 0.000 0.000 2.232
Li 2.232 1.786 2.232
Cr 0.000 0.000 0.000



Entry 5:
5
Lattice="-2.740 -2.697 1.175 2.935 -2.615 0.843 0.205 1.479 3.873" Properties=species:S:1:pos:R:3 comment="Li2CrSnH | the Alexandria database | PBE | relaxed" total_energy_ev_per_atom=-4.294 total_magnetization_mub_per_fu=3.241 space_group="No. 123" pbc="T T T"
Cr 0.103 0.739 1.937
Sn 0.200 -1.916 2.945
Li 1.467 -1.307 0.421
Li -1.370 -1.348 0.587
H 0.000 0.000 0.000



Entry 6:
10
Lattice="5.353 0.000 0.000 2.676 4.636 0.000 2.676 1.545 4.371" Properties=species:S:1:pos:R:3 comment="Sr2LiCrH6 | the Alexandria database | PBE | relaxed" total_energy_ev_per_atom=-3.869 total_magnetization_mub_per_fu=0.999 space_group="No. 225" pbc="T T T"
Cr 0.000 0.000 0.000
H 6.764 3.905 1.033
H 3.942 2.276 3.337
H 5.353 4.720 3.337
H 6.764 2.276 3.337
H 5.353 1.461 1.033
H 3.942 3.905 1.033
Li 5.353 3.090 2.185
Sr 2.676 1.545 1.093
Sr 8.029 4.636 3.278



Entry 7:
20
Lattice="5.038 0.000 -0.015 0.000 5.175 0.000 0.025 0.000 7.157" Properties=species:S:1:pos:R:3 comment="SrLi2CrH6 | the Alexandria database | PBE | relaxed" total_energy_ev_per_atom=-3.762 total_magnetization_mub_per_fu=2.000 space_group="No. 14" pbc="T T T"
H 2.508 3.535 3.181
H 1.422 0.618 2.404
H 3.954 1.970 5.975
H 1.111 1.984 5.960
H 0.023 0.948 0.391
H 1.446 4.571 4.768
H 1.109 3.205 1.167
H 2.554 1.640 3.962
H 3.640 4.557 4.738
H 3.952 3.191 1.182
H 5.040 4.227 6.752
H 3.617 0.603 2.374
Cr 0.000 2.587 0.000
Cr 2.531 0.000 3.571
Li 2.524 2.310 1.878
Li 0.007 4.897 1.693
Li 5.056 0.277 5.449
Li 2.539 2.865 5.264
Sr 2.519 0.000 -0.007
Sr 0.012 2.587 3.578



Entry 8:
5
Lattice="-2.924 -2.624 -0.422 1.032 -1.603 2.819 -2.372 2.294 2.173" Properties=species:S:1:pos:R:3 comment="LiV2CrH | the Alexandria database | PBE | relaxed" total_energy_ev_per_atom=-6.347 total_magnetization_mub_per_fu=0.000 space_group="No. 123" pbc="T T T"
Li -2.132 -0.966 2.285
Cr 0.516 -0.801 1.410
V -1.462 -1.312 -0.211
V -1.186 1.147 1.086
H 0.000 0.000 0.000



Entry 9:
10
Lattice="4.259 0.000 -0.051 0.000 4.334 0.000 -1.779 -2.167 4.290" Properties=species:S:1:pos:R:3 comment="Li2ZnCrH6 | the Alexandria database | PBE | relaxed" total_energy_ev_per_atom=-3.519 total_magnetization_mub_per_fu=2.001 space_group="No. 12" pbc="T T T"
Li 2.385 2.167 2.162
Li 0.095 0.000 2.077
Zn 2.129 0.000 -0.026
H -0.754 -1.050 3.438
H 1.848 0.000 2.648
H -0.754 1.050 3.438
H 3.234 3.217 0.801
H 3.234 1.117 0.801
H 0.632 2.167 1.592
Cr 0.000 2.167 0.000



Entry 10:
5
Lattice="5.103 0.000 0.000 0.000 3.029 0.000 0.000 0.000 5.103" Properties=species:S:1:pos:R:3 comment="LiZr2CrH | the Alexandria database | PBE | relaxed" total_energy_ev_per_atom=-5.665 total_magnetization_mub_per_fu=1.753 space_group="No. 123" pbc="T T T"
Cr 2.552 1.514 2.552
H 0.000 1.514 0.000
Zr 0.000 0.000 2.552
Zr 2.552 0.000 0.000
Li 0.000 0.000 0.000



Entry 11:
5
Lattice="3.480 0.000 0.000 0.000 3.480 0.000 0.000 0.000 3.480" Properties=species:S:1:pos:R:3 comment="LuCrH3 | the Alexandria database | PBE | relaxed" total_energy_ev_per_atom=-5.115 total_magnetization_mub_per_fu=0.000 space_group="No. 221" pbc="T T T"
Lu 1.740 1.740 1.740
Cr 0.000 0.000 0.000
H 1.740 0.000 0.000
H 0.000 1.740 0.000
H 0.000 0.000 1.740



Entry 12:
80
Lattice="12.888 0.000 0.000 -4.296 12.151 0.000 -4.296 -6.076 10.523" Properties=species:S:1:pos:R:3 comment="Lu12Cr3H5 | the Alexandria database | PBE | relaxed" total_energy_ev_per_atom=-4.994 total_magnetization_mub_per_fu=8.274 space_group="No. 230" pbc="T T T"
H -2.148 -3.038 5.262
H 6.444 0.000 0.000
H -1.074 3.038 2.631
H 7.518 -0.759 6.577
H -4.296 3.038 5.262
H 1.074 3.797 9.208
H 5.370 5.316 3.946
H 4.296 6.076 0.000
H 5.370 3.038 7.892
H 4.296 -3.038 5.262
H 2.148 3.038 5.262
H 3.222 2.278 1.315
H -1.074 0.759 6.577
H 5.370 -3.797 9.208
H -3.222 6.835 3.946
H 1.074 -3.038 7.892
H -1.074 9.873 1.315
H 3.222 9.113 2.631
H 0.000 0.000 0.000
H -2.148 6.076 0.000
Lu 6.471 10.855 0.212
Lu 3.781 -1.638 3.261
Lu -2.663 7.108 8.311
Lu 6.960 -1.033 2.212
Lu -4.270 4.779 10.312
Lu 1.491 -1.723 9.506
Lu 2.805 4.333 0.984
Lu -0.515 1.033 2.212
Lu 9.738 2.896 3.049
Lu -4.323 8.648 4.033
Lu 7.447 -4.230 9.294
Lu 6.471 3.503 4.033
Lu 2.663 1.638 3.261
Lu -5.442 3.179 7.474
Lu -0.657 7.818 0.984
Lu -3.781 5.470 5.473
Lu 4.953 1.723 9.506
Lu 2.175 -2.206 6.279
Lu 8.566 1.297 0.212
Lu 2.805 7.799 1.017
Lu -1.002 -3.179 7.474
Lu 2.122 8.282 4.245
Lu 0.515 7.714 7.262
Lu -3.151 10.306 1.229
Lu 8.077 0.605 5.050
Lu -1.002 4.230 9.294
Lu -1.146 7.127 4.278
Lu -4.953 -0.019 8.523
Lu 4.270 2.206 6.279
Lu -1.633 -0.605 5.050
Lu 5.442 -1.051 6.245
Lu 9.249 6.095 2.001
Lu -0.657 4.353 1.017
Lu 1.002 1.051 6.245
Lu 5.787 6.056 2.001
Lu 3.294 5.025 4.278
Lu 5.299 1.845 1.229
Lu -2.175 2.573 6.491
Lu 4.953 -1.742 9.540
Lu 5.299 9.255 3.049
Lu -1.491 0.019 8.523
Lu -2.175 -4.779 10.312
Lu 4.812 5.043 8.311
Lu 5.929 6.681 5.473
Lu 1.491 1.742 9.540
Lu 8.619 -2.573 6.491
Lu 1.633 4.437 7.262
Lu 0.027 3.870 4.245
Cr -3.222 -2.278 9.208
Cr 9.666 0.000 2.631
Cr 7.518 3.797 1.315
Cr 3.222 0.000 7.892
Cr -1.074 5.316 6.577
Cr 7.518 8.354 1.315
Cr 1.074 -0.759 3.946
Cr 1.074 6.076 2.631
Cr 5.370 0.759 3.946
Cr 3.222 6.835 6.577
Cr -5.370 6.076 7.892
Cr -3.222 2.278 9.208